A relaxed K3TbTh2S6 crystal. Source: the Alexandria database, functional PBE-GGA.

Summary:
Final energy in eV per atom: -5.700
Uncorrected formation energy in eV per atom: -1.7395

The structure in POSCAR format:
```
K3TbTh2S6
1.0
-2.617 5.367 -3.819
-4.285 -5.193 2.216
0.939 3.744 6.811
K Tb Th S
3 1 2 6
Direct
0.167 0.833 0.500 K
0.833 0.167 0.500 K
0.500 0.500 0.500 K
0.000 0.000 0.000 Tb
0.333 0.667 0.000 Th
0.667 0.333 0.000 Th
0.930 0.599 0.790 S
0.739 0.739 0.210 S
0.070 0.401 0.210 S
0.599 0.930 0.790 S
0.261 0.261 0.790 S
0.401 0.070 0.210 S
```